InIrW2 | PBE | relaxed

POSCAR file:
```
InIrW2
1.0
5.126 0.007 -0.093
-2.257 4.603 -0.093
0.052 0.083 2.809
In Ir W
1 1 2
direct
0.500 0.000 0.500
0.000 0.500 0.500
0.000 0.000 0.000
0.500 0.500 0.000
```

- DFT formation energy (eV per atom) = 0.358
- energy (eV for the cell shown) = -36.07
- spin magnetization (μB/cell) = 0.0
- space group = No. 65


Ta2CrIn | PBE | relaxed

POSCAR file:
```
Ta2CrIn
1.0
5.465 0.008 0.026
-2.449 4.808 -0.008
0.567 0.791 2.647
Cr In Ta
1 1 2
direct
0.000 0.500 0.500
0.500 0.500 0.000
0.000 0.000 0.000
0.500 0.000 0.500
```

- DFT formation energy (eV per atom) = 0.330
- energy (eV for the cell shown) = -34.75
- spin magnetization (μB/cell) = 0.2
- space group = No. 12


La3Ge6PdPt2 | PBE | relaxed

POSCAR file:
```
La3Ge6PdPt2
1.0
6.132 0.000 0.000
-3.066 5.310 0.000
0.000 0.000 8.168
La Ge Pd Pt
3 6 1 2
direct
0.333 0.667 0.662
0.667 0.333 0.338
0.000 0.000 0.000
0.616 0.808 0.299
0.192 0.384 0.299
0.192 0.808 0.299
0.808 0.616 0.701
0.384 0.192 0.701
0.808 0.192 0.701
0.000 0.000 0.500
0.667 0.333 0.965
0.333 0.667 0.035
```

- DFT formation energy (eV per atom) = -0.513
- energy (eV for the cell shown) = -65.91
- spin magnetization (μB/cell) = 0.0
- space group = No. 164


ZnAg4Sb | PBE | relaxed

POSCAR file:
```
ZnAg4Sb
1.0
0.000 3.919 3.919
3.919 0.000 3.919
3.919 3.919 0.000
Zn Ag Sb
1 4 1
direct
0.000 0.000 0.000
0.876 0.375 0.375
0.375 0.375 0.876
0.375 0.876 0.375
0.375 0.375 0.375
0.750 0.750 0.750
```

- formation energy (no corrections) (eV per formula unit) = 1.1
- energy (eV for the cell shown) = -15.74
- spin magnetization (μB/cell) = 0.0
- space group = No. 216


ZrMnSi | PBE | relaxed

POSCAR file:
```
ZrMnSi
1.0
-3.535 -1.014 -0.301
1.893 -6.041 -1.879
0.028 -2.270 7.325
Zr Mn Si
4 4 4
direct
0.250 0.526 0.680
0.250 0.026 0.820
0.750 0.974 0.180
0.750 0.474 0.320
0.750 0.361 0.935
0.250 0.139 0.435
0.750 0.861 0.565
0.250 0.639 0.065
0.250 0.274 0.121
0.250 0.774 0.379
0.750 0.726 0.879
0.750 0.226 0.621
```

- formation energy (no corrections) (eV per formula unit) = -2.1
- energy (eV for the cell shown) = -100.85
- spin magnetization (μB/cell) = 6.6
- space group = No. 62


K3W | PBE | relaxed

POSCAR file:
```
K3W
1.0
3.262 0.000 0.000
-1.631 2.825 0.000
0.000 0.000 14.369
K W
3 1
direct
0.000 0.000 0.955
0.000 0.000 0.545
0.667 0.333 0.250
0.667 0.333 0.750
```

- DFT formation energy (eV per atom) = 1.441
- energy (eV for the cell shown) = -10.48
- spin magnetization (μB/cell) = 0.2
- space group = No. 187


TbDyHgRu | PBE | relaxed

POSCAR file:
```
TbDyHgRu
1.0
-2.477 0.946 -2.256
0.846 -2.681 -2.053
-4.978 -4.358 3.639
Tb Dy Hg Ru
1 1 1 1
direct
0.500 0.500 0.791
0.500 0.500 0.351
0.000 0.000 0.073
0.000 0.000 0.570
```

- DFT formation energy (eV per atom) = -0.473
- energy (eV for the cell shown) = -20.70
- spin magnetization (μB/cell) = 0.0
- space group = No. 99


YGaNi3Ge | PBE | relaxed

POSCAR file:
```
YGaNi3Ge
1.0
5.408 0.000 0.000
0.000 6.159 0.000
0.000 -3.079 5.793
Y Ga Ni Ge
2 2 6 2
direct
0.750 0.292 0.584
0.250 0.708 0.416
0.250 0.954 0.908
0.750 0.046 0.092
0.250 0.160 0.321
0.000 0.301 0.000
0.500 0.699 0.000
0.500 0.301 0.000
0.000 0.699 0.000
0.750 0.840 0.679
0.250 0.364 0.728
0.750 0.636 0.272
```

- DFT formation energy (eV per atom) = -0.359
- energy (eV for the cell shown) = -67.21
- spin magnetization (μB/cell) = 0.0
- space group = No. 63


Dy5OsAu2 | PBE | relaxed

POSCAR file:
```
Dy5OsAu2
1.0
-3.039 -3.362 1.211
1.900 0.799 6.991
-8.458 8.140 1.369
Dy Os Au
10 2 4
direct
0.000 0.000 0.500
0.000 0.500 0.000
0.000 0.846 0.206
0.000 0.154 0.794
0.000 0.654 0.706
0.000 0.346 0.294
0.500 0.678 0.415
0.500 0.322 0.585
0.500 0.822 0.915
0.500 0.178 0.085
0.000 0.500 0.500
0.000 0.000 0.000
0.500 0.567 0.164
0.500 0.433 0.836
0.500 0.933 0.664
0.500 0.067 0.336
```

- DFT formation energy (eV per atom) = -0.553
- energy (eV for the cell shown) = -90.44
- spin magnetization (μB/cell) = 0.0
- space group = No. 55


CaLaZn4 | PBE | relaxed

POSCAR file:
```
CaLaZn4
1.0
5.619 0.000 0.000
2.810 4.866 0.000
2.810 1.622 4.588
Ca La Zn
1 1 4
direct
0.250 0.250 0.250
0.000 0.000 0.000
0.122 0.626 0.626
0.626 0.626 0.626
0.626 0.122 0.626
0.626 0.626 0.122
```

- DFT formation energy (eV per atom) = -0.291
- energy (eV for the cell shown) = -13.77
- spin magnetization (μB/cell) = 0.0
- space group = No. 216


TaSbRh2 | PBE | relaxed

POSCAR file:
```
TaSbRh2
1.0
-1.960 -2.605 1.096
2.077 -2.232 -1.591
3.234 -0.413 4.802
Ta Sb Rh
1 1 2
direct
0.500 0.500 0.500
0.500 0.500 0.000
0.000 0.000 0.732
0.000 0.000 0.268
```

- formation energy (no corrections) (eV per formula unit) = -1.5
- energy (eV for the cell shown) = -32.13
- spin magnetization (μB/cell) = 0.0
- space group = No. 123


ErUAsO2 | PBE | relaxed

POSCAR file:
```
ErUAsO2
1.0
-3.633 -0.858 0.400
0.849 -2.250 2.883
0.716 6.201 2.185
Er U As O
1 1 1 2
direct
0.148 0.148 0.296
0.855 0.855 0.710
0.497 0.497 0.993
0.750 0.250 0.500
0.250 0.750 0.500
```

- formation energy (no corrections) (eV per formula unit) = -12.5
- energy (eV for the cell shown) = -42.96
- spin magnetization (μB/cell) = 2.0
- space group = No. 107


MgVTcRh | PBE | relaxed

POSCAR file:
```
MgVTcRh
1.0
4.332 0.000 0.000
2.166 3.751 0.000
2.166 1.250 3.537
Mg Rh Tc V
1 1 1 1
direct
0.000 0.000 0.000
0.250 0.250 0.250
0.750 0.750 0.750
0.500 0.500 0.500
```

- DFT formation energy (eV per atom) = -0.187
- energy (eV for the cell shown) = -29.18
- spin magnetization (μB/cell) = 0.0
- space group = No. 216


MnGaHOs | PBE | relaxed

POSCAR file:
```
MnGaHOs
1.0
4.098 0.000 -0.494
0.000 2.697 0.000
-1.575 0.000 4.307
Mn Ga H Os
1 1 1 1
direct
0.829 0.500 0.194
0.442 0.000 0.414
0.775 0.000 0.919
0.127 0.000 0.784
```

- energy (eV for the cell shown) = -25.97
- spin magnetization (μB/cell) = 2.6
- space group = No. 6


YInGe2F | PBE | relaxed

POSCAR file:
```
YInGe2F
1.0
5.729 0.000 0.000
0.000 4.207 0.000
0.000 0.000 5.729
Y Ge F In
1 2 1 1
direct
0.000 0.000 0.000
0.000 0.000 0.500
0.500 0.000 0.000
0.000 0.500 0.000
0.500 0.500 0.500
```

- formation energy (no corrections) (eV per formula unit) = -3.4
- energy (eV for the cell shown) = -23.67
- spin magnetization (μB/cell) = 0.0
- space group = No. 123


CeMg4Pb2 | PBE | relaxed

POSCAR file:
```
CeMg4Pb2
1.0
5.831 0.000 -1.762
-0.532 5.806 -1.762
-1.095 -1.200 6.905
Ce Mg Pb
1 4 2
direct
0.000 0.000 0.000
0.750 0.250 0.500
0.250 0.750 0.500
0.500 0.000 0.000
0.000 0.500 0.000
0.643 0.643 0.287
0.357 0.357 0.713
```

- DFT formation energy (eV per atom) = 0.299
- energy (eV for the cell shown) = -17.63
- spin magnetization (μB/cell) = 1.7
- space group = No. 139


LaEuSiAu | PBE | relaxed

POSCAR file:
```
LaEuSiAu
1.0
-1.610 -2.676 4.265
-1.793 -4.947 -0.505
2.870 -4.050 1.818
Eu Si Au La
1 1 1 1
direct
0.750 0.750 0.750
0.000 0.000 0.000
0.500 0.500 0.500
0.250 0.250 0.250
```

- formation energy (no corrections) (eV per formula unit) = -2.6
- energy (eV for the cell shown) = -26.54
- spin magnetization (μB/cell) = 7.1
- space group = No. 216


ZrSi2Pt | PBE | relaxed

POSCAR file:
```
ZrSi2Pt
1.0
-4.811 0.104 -2.351
-3.878 -1.691 3.284
3.751 3.650 -1.138
Pt Si Zr
1 2 1
direct
0.250 0.750 0.500
0.022 0.022 0.000
0.478 0.478 0.000
0.750 0.250 0.500
```

- formation energy (no corrections) (eV per formula unit) = -1.6
- energy (eV for the cell shown) = -27.05
- spin magnetization (μB/cell) = 0.0
- space group = No. 71


Sb2PbWI | PBE | relaxed

POSCAR file:
```
Sb2PbWI
1.0
5.219 0.000 0.000
0.000 5.219 0.000
0.000 0.000 5.911
Pb I W Sb
1 1 1 2
direct
0.500 0.500 0.500
0.000 0.000 0.500
0.000 0.000 0.000
0.000 0.500 0.000
0.500 0.000 0.000
```

- formation energy (no corrections) (eV per formula unit) = 3.2
- energy (eV for the cell shown) = -23.24
- spin magnetization (μB/cell) = 0.9
- space group = No. 123


MnRe2Mo | PBE | relaxed

POSCAR file:
```
MnRe2Mo
1.0
-0.797 0.951 2.855
1.759 -2.249 1.240
4.703 3.720 0.074
Mn Mo Re
1 1 2
direct
0.000 0.000 0.508
0.500 0.500 0.729
0.000 0.000 0.005
0.500 0.500 0.259
```

- DFT formation energy (eV per atom) = 0.128
- energy (eV for the cell shown) = -44.39
- spin magnetization (μB/cell) = 2.0
- space group = No. 99